## Zn2CdGa4 (PBE)

Data for a relaxed Zn2CdGa4 crystal.

For the total magnetization, the calculation gives 0.00 Bohr magnetons per cell. The energy relative to the elements is 0.1347 eV/atom.

The space group is I4/mmm (No. 139) and the conventional cell measures 4.007, 4.007 and 17.393 Å, with angles of 90.00, 90.00 and 90.00 degrees. The inequivalent atoms are Zn at (0.000, 0.000, 0.083), Cd at (0.000, 0.000, 0.500), Ga at (0.000, 0.000, 0.351) and Ga at (0.000, 0.500, 0.250).